The following is a GGA+U calculation of a relaxed RbVAs2O8 crystal, from Alexandria via LeMat-Bulk.

Geometry as CIF:
```
data_RbVAs2O8
_cell_length_a 5.3785
_cell_length_b 5.3785
_cell_length_c 26.9010
_cell_angle_alpha 90.00
_cell_angle_beta 90.00
_cell_angle_gamma 120.00
_space_group_name_H-M_alt 'R -3 m'
_space_group_IT_number 166
_space_group_name_Hall '-R 3 2"'
loop_
_atom_site_label
_atom_site_type_symbol
_atom_site_fract_x
_atom_site_fract_y
_atom_site_fract_z
Rb1 Rb 0.0000 0.0000 0.0000
V1 V 0.0000 0.0000 0.5000
As1 As 0.0000 0.0000 0.2321
O1 O 0.0000 0.0000 0.2938
O2 O 0.0104 0.5052 0.1251
```

Output
- E (Ha/atom) = -0.2270
- V (Å³ per cell) = 673.9